# 1
A plane-wave DFT calculation with GGA-PBE was carried out for crystalline Sc2Zn3Ag2 at its relaxed geometry.

The structure in extended XYZ format:
```
7
Lattice="4.688 -2.233 0.000 4.688 2.233 0.000 -2.280 0.000 6.076" Properties=species:S:1:pos:R:3 pbc="T T T"
Sc 0.766 0.000 1.544
Sc 6.330 0.000 4.531
Zn 3.546 0.000 0.461
Zn 3.548 0.000 3.038
Zn 3.551 0.000 5.615
Ag -0.208 0.000 4.315
Ag 7.304 0.000 1.761
```

Fermi-level density of states ... 4.303 states/eV/cell
E_tot ... -3.4074 eV per atom

# 2
A plane-wave DFT calculation with GGA-PBE was carried out for crystalline LiTa2Sb at its relaxed geometry.

The structure in extended XYZ format:
```
4
Lattice="2.942 0.000 0.000 0.000 4.414 0.000 0.000 0.000 5.623" Properties=species:S:1:pos:R:3 pbc="T T T"
Li 0.000 0.000 0.000
Ta 1.471 2.207 1.368
Ta 1.471 2.207 4.255
Sb 0.000 0.000 2.811
```

Fermi-level density of states ... 2.325 states/eV/cell
E_tot ... -7.1254 eV per atom
Energy relative to the elements, uncorrected ... 1.240 eV per formula unit